No. 1
PmTaNb | PBE | optimized geometry

Summary:
The total energy comes out at -7.978 eV/atom.

Cell lengths 4.7188, 4.7188, 4.7188 Å; angles 60.00, 60.00, 60.00 degrees
Closest atoms and distances in Å follow each position.
Fractional coordinates of all 3 atoms:
Pm1 0.0000 0.0000 0.0000  4 Nb 2.89
Ta1 0.5000 0.5000 0.5000  4 Nb 2.89
Nb1 0.2500 0.2500 0.2500  4 Ta 2.89, 4 Pm 2.89

***

No. 2
PmNbTc | PBE | optimized geometry

Summary:
The total energy comes out at -7.701 eV/atom.

Cell lengths 4.5730, 4.5730, 4.5730 Å; angles 60.00, 60.00, 60.00 degrees
Closest atoms and distances in Å follow each position.
Fractional coordinates of all 3 atoms:
Pm1 0.0000 0.0000 0.0000  4 Nb 2.80
Nb1 0.2500 0.2500 0.2500  4 Tc 2.80, 4 Pm 2.80
Tc1 0.5000 0.5000 0.5000  4 Nb 2.80

***

Number 1: mass density 9.36 g/cm3. Number 2: mass density 8.25 g/cm3.